No. 1
Material: BeHgP2Cl
Method: DFT, meta-GGA SCAN
State: PBEsol geometry

Output
Formation energy from raw total energies   2.49 eV per formula unit
Mass density   5.928 Mg/m³
Uncorrected energy   -98.81 eV for the cell shown

a = 4.444 Å, b = 4.444 Å, c = 4.355 Å
α = 90.00°, β = 90.00°, γ = 90.00°
Space group P4/mmm (No. 123)
Unique sites:
Be (0.000, 0.000, 0.000)
Hg (0.500, 0.500, 0.500)
P (0.000, 0.500, 0.000)
Cl (0.000, 0.000, 0.500)

***

No. 2
Material: ZrSi2Rh
Method: DFT, meta-GGA SCAN
State: PBEsol geometry

Output
Formation energy from raw total energies   -2.66 eV per formula unit
Mass density   7.017 Mg/m³
Uncorrected energy   -87.16 eV for the cell shown

a = 2.984 Å, b = 2.984 Å, c = 6.651 Å
α = 90.00°, β = 90.00°, γ = 90.00°
Space group P4/mmm (No. 123)
Unique sites:
Zr (0.000, 0.000, 0.000)
Si (0.500, 0.500, 0.287)
Rh (0.000, 0.000, 0.500)